A plane-wave DFT calculation with PBE-GGA was carried out for a geometry-optimized Na4Pu3MgSe8 structure.

Values from the calculation:
- raw total energy (eV/atom) = -6.1919

Cell: 8.3036 8.3036 20.7853 Å, 90.00 90.00 120.00°
Space group R-3m (No. 166, hexagonal axes)
Symmetry-distinct sites (fractional):
Na  0.0000  0.0000  0.0000 x3
Na  0.0000  0.5000  0.0000 x9
Pu  0.0000  0.5000  0.5000 x9
Mg  0.0000  0.0000  0.5000 x3
Se  0.0000  0.0000  0.2434 x6
Se  0.0053  0.5027  0.2417 x18

***

A plane-wave DFT calculation with PBE-GGA was carried out for a geometry-optimized TaFeMoOs structure.

Values from the calculation:
- formation enthalpy at 0 K (eV per atom) = 0.0016

Cell: 6.2335 6.2335 6.2335 Å, 90.00 90.00 90.00°
Space group F-43m (No. 216)
Symmetry-distinct sites (fractional):
Ta  0.0000  0.0000  0.0000 x4
Fe  0.0000  0.0000  0.5000 x4
Mo  0.2500  0.2500  0.7500 x4
Os  0.2500  0.2500  0.2500 x4

***

A plane-wave DFT calculation with PBE-GGA was carried out for a geometry-optimized Mg4HgPt2 structure.

Values from the calculation:
- formation enthalpy at 0 K (eV per atom) = -0.6014

Cell: 4.5884 4.5884 21.7835 Å, 90.00 90.00 120.00°
Space group R-3m (No. 166, hexagonal axes)
Symmetry-distinct sites (fractional):
Mg  0.0000  0.0000  0.1105 x6
Mg  0.0000  0.0000  0.3674 x6
Hg  0.0000  0.0000  0.5000 x3
Pt  0.0000  0.0000  0.2449 x6

***

A plane-wave DFT calculation with PBE-GGA was carried out for a geometry-optimized ScIr2Rh structure.

Values from the calculation:
- formation enthalpy at 0 K (eV per atom) = -0.3296

Cell: 2.8279 4.5887 5.0488 Å, 90.00 104.16 90.00°
Space group P2/m (No. 10)
Symmetry-distinct sites (fractional):
Sc  0.0000  0.0000  0.0000 x1
Ir  0.3635  0.5000  0.7329 x2
Rh  0.5000  0.0000  0.5000 x1

***

A plane-wave DFT calculation with PBE-GGA was carried out for a geometry-optimized Rb2Sc2P structure.

Values from the calculation:
- excess energy over the best structure of this formula in the dataset (meV per atom) = 442.9
- formation enthalpy at 0 K (eV per atom) = 1.0434

Cell: 7.9382 7.9382 5.8261 Å, 90.00 90.00 90.00°
Space group P4/mbm (No. 127)
Symmetry-distinct sites (fractional):
Rb  0.1377  0.3623  0.0000 x4
Sc  0.1840  0.6840  0.5000 x4
P  0.0000  0.0000  0.0000 x2

***

A plane-wave DFT calculation with PBE-GGA was carried out for a geometry-optimized NaCa2In structure.

Values from the calculation:
- formation enthalpy at 0 K (eV per atom) = 0.0285

Cell: 8.9671 8.9671 7.0995 Å, 90.00 90.00 90.00°
Space group I-42d (No. 122)
Symmetry-distinct sites (fractional):
Na  0.0000  0.0000  0.0000 x4
Ca  0.2277  0.2500  0.6250 x8
In  0.0000  0.0000  0.5000 x4

***

A plane-wave DFT calculation with PBE-GGA was carried out for a geometry-optimized NpN2O2 structure.

Values from the calculation:
- raw total energy (eV/atom) = -9.6086

Cell: 6.1630 3.5616 9.3359 Å, 90.00 103.29 90.00°
Space group C2/m (No. 12)
Symmetry-distinct sites (fractional):
Np  0.0000  0.0000  0.0000 x2
N  0.0374  0.5000  0.5603 x4
O  0.2018  0.5000  0.1010 x4

***

A plane-wave DFT calculation with PBE-GGA was carried out for a geometry-optimized Li2AcErSe4 structure.

Values from the calculation:
- raw total energy (eV/atom) = -4.9687

Cell: 6.9899 4.2353 7.3768 Å, 90.00 110.65 90.00°
Space group P2/m (No. 10)
Symmetry-distinct sites (fractional):
Li  0.0000  0.0000  0.0000 x1
Li  0.0000  0.5000  0.5000 x1
Ac  0.5000  0.0000  0.5000 x1
Er  0.5000  0.5000  0.0000 x1
Se  0.2378  0.5000  0.2241 x2
Se  0.2460  0.0000  0.7659 x2

***

A plane-wave DFT calculation with PBE-GGA was carried out for a geometry-optimized CuPtS structure.

Values from the calculation:
- excess energy over the best structure of this formula in the dataset (meV per atom) = 81.4

Cell: 3.5418 4.3197 6.7266 Å, 96.67 104.51 90.29°
Space group P1 (No. 1)
Symmetry-distinct sites (fractional):
Cu  0.0000  0.0000  0.0000 x1
Cu  0.3838  0.1843  0.7476 x1
Pt  0.2052  0.3458  0.3777 x1
Pt  0.7994  0.7461  0.5709 x1
S  0.6590  0.0101  0.2857 x1
S  0.9457  0.4887  0.8723 x1

***

A plane-wave DFT calculation with PBE-GGA was carried out for a geometry-optimized CeHfIn structure.

Values from the calculation:
- excess energy over the best structure of this formula in the dataset (meV per atom) = 234.6
- formation enthalpy at 0 K (eV per atom) = 0.1087

Cell: 5.1749 5.1749 3.1090 Å, 90.00 90.00 120.00°
Space group P3m1 (No. 156)
Symmetry-distinct sites (fractional):
Ce  0.0000  0.0000  0.0000 x1
Hf  0.3333  0.6667  0.9979 x1
In  0.6667  0.3333  0.4999 x1

***

A plane-wave DFT calculation with PBE-GGA was carried out for a geometry-optimized LuCo4W structure.

Values from the calculation:
- formation enthalpy at 0 K (eV per atom) = 0.0053

Cell: 6.8123 6.8123 6.8123 Å, 90.00 90.00 90.00°
Space group F-43m (No. 216)
Symmetry-distinct sites (fractional):
Lu  0.0000  0.0000  0.0000 x4
Co  0.1253  0.1253  0.6253 x16
W  0.2500  0.2500  0.2500 x4

***

A plane-wave DFT calculation with PBE-GGA was carried out for a geometry-optimized NdCdHg4 structure.

Values from the calculation:
- excess energy over the best structure of this formula in the dataset (meV per atom) = 115.1
- formation enthalpy at 0 K (eV per atom) = -0.0703

Cell: 8.5292 8.5292 8.5292 Å, 90.00 90.00 90.00°
Space group F-43m (No. 216)
Symmetry-distinct sites (fractional):
Nd  0.0000  0.0000  0.0000 x4
Cd  0.2500  0.2500  0.7500 x4
Hg  0.1250  0.1250  0.3750 x16